# 1
A plane-wave DFT calculation with PBE was carried out for a relaxed Zr2HgW crystal. Values from VASP.

```
&SYSTEM
  ibrav = 0, nat = 4, ntyp = 3
/
ATOMIC_SPECIES
Zr 91.22 Zr.upf
W 183.84 W.upf
Hg 200.59 Hg.upf
CELL_PARAMETERS angstrom
-0.1628 -0.1575 -3.5661
-1.8012 -3.0840 0.2184
-5.4703 3.2026 0.1082
ATOMIC_POSITIONS angstrom
Zr -5.3495 3.1319 0.1058
W -5.1581 0.8242 -1.5912
Hg -2.7653 1.6189 0.0547
Zr -2.3669 -0.8100 -1.6464
```


# 2
A plane-wave DFT calculation with PBE was carried out for a relaxed Zr2HgW crystal. Values from VASP.

```
&SYSTEM
  ibrav = 0, nat = 4, ntyp = 3
/
ATOMIC_SPECIES
Hg 200.59 Hg.upf
Zr 91.22 Zr.upf
W 183.84 W.upf
CELL_PARAMETERS angstrom
-0.5294 -2.0132 2.0930
-0.3243 -1.3013 -2.6297
9.5077 -2.4558 0.0427
ATOMIC_POSITIONS angstrom
Hg 4.8639 -1.2563 0.0219
Zr 9.3431 -2.4133 0.0420
W 6.7370 -3.5076 -0.2362
Zr 1.9717 -2.2768 -0.2576
```


# 3
A plane-wave DFT calculation with PBE was carried out for a relaxed Zr3HgW crystal. Values from VASP.

```
&SYSTEM
  ibrav = 0, nat = 5, ntyp = 3
/
ATOMIC_SPECIES
Hg 200.59 Hg.upf
Zr 91.22 Zr.upf
W 183.84 W.upf
CELL_PARAMETERS angstrom
-4.3112 -0.5171 2.6714
-2.0539 -2.6644 -3.8304
1.7847 -4.3155 2.0448
ATOMIC_POSITIONS angstrom
Hg -2.2902 -3.7485 0.4429
Zr -1.0269 -1.3322 -1.9152
W 0.0000 0.0000 0.0000
Zr 0.8924 -2.1577 1.0224
Zr -2.1556 -0.2586 1.3357
```

Properties
Relative energy among the computed polymorphs in meV per atom: 0


# 4
A plane-wave DFT calculation with PBE was carried out for a relaxed ZrHg2W crystal. Values from VASP.

```
&SYSTEM
  ibrav = 0, nat = 4, ntyp = 3
/
ATOMIC_SPECIES
Zr 91.22 Zr.upf
Hg 200.59 Hg.upf
W 183.84 W.upf
CELL_PARAMETERS angstrom
-3.0554 3.2529 9.1772
-5.7299 2.3202 8.1193
-3.8565 0.3494 9.4415
ATOMIC_POSITIONS angstrom
Zr -3.1605 1.4806 6.6845
Hg -0.0417 0.0195 0.0882
W -9.4814 4.4419 20.0535
Hg -6.2792 2.9417 13.2808
```


# 5
A plane-wave DFT calculation with PBE was carried out for a relaxed Zr2HgW crystal. Values from VASP.

```
&SYSTEM
  ibrav = 0, nat = 4, ntyp = 3
/
ATOMIC_SPECIES
W 183.84 W.upf
Hg 200.59 Hg.upf
Zr 91.22 Zr.upf
CELL_PARAMETERS angstrom
3.4401 0.0000 0.0000
0.0000 3.4401 0.0000
0.0000 0.0000 6.9492
ATOMIC_POSITIONS angstrom
W 1.7200 1.7200 5.2119
Hg 1.7200 1.7200 1.7373
Zr 0.0000 0.0000 6.7726
Zr 0.0000 0.0000 3.6511
```


# 6
A plane-wave DFT calculation with PBE was carried out for a relaxed Zr2HgW crystal. Values from VASP.

```
&SYSTEM
  ibrav = 0, nat = 4, ntyp = 3
/
ATOMIC_SPECIES
W 183.84 W.upf
Zr 91.22 Zr.upf
Hg 200.59 Hg.upf
CELL_PARAMETERS angstrom
10.1611 -0.0377 -0.0221
9.7007 3.0245 -0.0221
9.7007 1.4588 2.6495
ATOMIC_POSITIONS angstrom
W 22.1937 3.3375 1.9559
Zr 7.3655 1.1076 0.6491
Hg 14.6919 2.2093 1.2948
Zr 0.0925 0.0139 0.0082
```


# 7
A plane-wave DFT calculation with PBE was carried out for a relaxed ZrHg2W crystal. Values from VASP.

```
&SYSTEM
  ibrav = 0, nat = 4, ntyp = 3
/
ATOMIC_SPECIES
Zr 91.22 Zr.upf
Hg 200.59 Hg.upf
W 183.84 W.upf
CELL_PARAMETERS angstrom
3.0002 0.0000 0.0000
0.0000 4.3137 0.0000
0.0000 0.0000 6.2191
ATOMIC_POSITIONS angstrom
Zr 1.5001 2.1568 4.5697
Hg 0.0000 0.0000 0.0102
W 0.0000 0.0000 3.1270
Hg 1.5001 2.1568 1.6218
```


# 8
A plane-wave DFT calculation with PBE was carried out for a relaxed ZrHg2W crystal. Values from VASP.

```
&SYSTEM
  ibrav = 0, nat = 4, ntyp = 3
/
ATOMIC_SPECIES
W 183.84 W.upf
Hg 200.59 Hg.upf
Zr 91.22 Zr.upf
CELL_PARAMETERS angstrom
-2.9011 0.3030 0.3147
-0.4340 -1.7596 -2.3071
-0.1583 -7.4399 5.7039
ATOMIC_POSITIONS angstrom
W -0.0792 -3.7203 2.8522
Hg -1.7094 -2.6917 0.5090
Zr -1.7847 -6.2322 3.2234
Hg -0.1578 -7.4122 5.6827
```


# 9
A plane-wave DFT calculation with PBE was carried out for a relaxed ZrHg2W crystal. Values from VASP.

```
&SYSTEM
  ibrav = 0, nat = 4, ntyp = 3
/
ATOMIC_SPECIES
Zr 91.22 Zr.upf
Hg 200.59 Hg.upf
W 183.84 W.upf
CELL_PARAMETERS angstrom
-2.6952 -2.7414 1.6250
0.9943 -2.7462 -2.9837
3.2607 -1.6575 2.6121
ATOMIC_POSITIONS angstrom
Zr 2.1275 -2.2018 -0.1858
Hg -0.8504 -2.7438 -0.6794
W 0.2828 -2.1994 2.1185
Hg 0.0000 0.0000 0.0000
```


# 10
A plane-wave DFT calculation with PBE was carried out for a relaxed Zr2HgW crystal. Values from VASP.

```
&SYSTEM
  ibrav = 0, nat = 4, ntyp = 3
/
ATOMIC_SPECIES
Hg 200.59 Hg.upf
Zr 91.22 Zr.upf
W 183.84 W.upf
CELL_PARAMETERS angstrom
2.9062 0.0000 0.0000
0.0000 2.9062 0.0000
0.0000 0.0000 9.5879
ATOMIC_POSITIONS angstrom
Hg 0.0000 0.0000 4.8906
Zr 0.0000 0.0000 9.4740
Zr 1.4531 1.4531 2.4804
W 1.4531 1.4531 7.1248
```


# 11
A plane-wave DFT calculation with PBE was carried out for a relaxed Zr2HgW crystal. Values from VASP.

```
&SYSTEM
  ibrav = 0, nat = 4, ntyp = 3
/
ATOMIC_SPECIES
W 183.84 W.upf
Hg 200.59 Hg.upf
Zr 91.22 Zr.upf
CELL_PARAMETERS angstrom
3.0125 0.0022 0.0000
-0.9039 2.8737 0.0000
0.0000 0.0000 9.4123
ATOMIC_POSITIONS angstrom
W 1.0543 1.4379 7.0592
Hg 1.0543 1.4379 2.3531
Zr 0.0000 0.0000 9.2351
Zr 0.0000 0.0000 4.8834
```


# 12
A plane-wave DFT calculation with PBE was carried out for a relaxed ZrHg2W crystal. Values from VASP.

```
&SYSTEM
  ibrav = 0, nat = 4, ntyp = 3
/
ATOMIC_SPECIES
Hg 200.59 Hg.upf
Zr 91.22 Zr.upf
W 183.84 W.upf
CELL_PARAMETERS angstrom
5.3323 -0.0143 -0.0053
2.0269 4.9321 0.0053
-3.6775 -2.4620 2.9746
ATOMIC_POSITIONS angstrom
Hg 3.6796 2.4589 0.0000
Hg 0.0000 0.0000 0.0000
Zr 1.0145 2.4645 1.4899
W 2.6672 -0.0087 1.4846
```


# 13
A plane-wave DFT calculation with PBE was carried out for a relaxed Zr2HgW crystal. Values from VASP.

```
&SYSTEM
  ibrav = 0, nat = 4, ntyp = 3
/
ATOMIC_SPECIES
Zr 91.22 Zr.upf
Hg 200.59 Hg.upf
W 183.84 W.upf
CELL_PARAMETERS angstrom
5.4351 0.0123 0.0000
2.1558 4.9893 0.0000
-3.7955 -2.5008 2.9801
ATOMIC_POSITIONS angstrom
Zr 1.0779 2.4946 1.4900
Hg 3.7955 2.5008 0.0000
Zr 0.0000 0.0000 0.0000
W 2.7175 0.0062 1.4900
```


# 14
A plane-wave DFT calculation with PBE was carried out for a relaxed Zr2HgW crystal. Values from VASP.

```
&SYSTEM
  ibrav = 0, nat = 4, ntyp = 3
/
ATOMIC_SPECIES
W 183.84 W.upf
Zr 91.22 Zr.upf
Hg 200.59 Hg.upf
CELL_PARAMETERS angstrom
5.4905 0.0159 0.0268
4.6687 2.8896 0.0268
0.9423 0.2695 5.1914
ATOMIC_POSITIONS angstrom
W 2.6254 0.7508 1.1440
Zr 10.0225 2.8664 0.2789
Zr 8.4259 2.4097 3.7348
Hg 5.7376 1.6409 2.7635
```


# 15
A plane-wave DFT calculation with PBE was carried out for a relaxed ZrHg2W crystal. Values from VASP.

```
&SYSTEM
  ibrav = 0, nat = 4, ntyp = 3
/
ATOMIC_SPECIES
W 183.84 W.upf
Zr 91.22 Zr.upf
Hg 200.59 Hg.upf
CELL_PARAMETERS angstrom
4.4719 0.0000 0.0000
0.0000 2.9433 0.0477
0.0000 2.8353 5.9722
ATOMIC_POSITIONS angstrom
W 2.2360 1.4447 1.5050
Zr 2.2360 4.3340 4.5149
Hg 0.0000 2.9454 0.0995
Hg 0.0000 2.8871 2.9581
```


# 16
A plane-wave DFT calculation with PBE was carried out for a relaxed Zr2HgW crystal. Values from VASP.

```
&SYSTEM
  ibrav = 0, nat = 4, ntyp = 3
/
ATOMIC_SPECIES
Zr 91.22 Zr.upf
Hg 200.59 Hg.upf
W 183.84 W.upf
CELL_PARAMETERS angstrom
5.0762 0.0232 -0.0232
4.1817 2.8779 -0.0232
0.6431 0.2015 5.6482
ATOMIC_POSITIONS angstrom
Zr 4.9121 1.5392 2.7278
Zr 0.0384 0.0120 0.0730
Hg 7.4257 2.3269 4.2013
W 2.4752 0.7756 1.4004
```


# 17
A plane-wave DFT calculation with PBE was carried out for a relaxed ZrHgW3 crystal. Values from VASP.

```
&SYSTEM
  ibrav = 0, nat = 5, ntyp = 3
/
ATOMIC_SPECIES
W 183.84 W.upf
Zr 91.22 Zr.upf
Hg 200.59 Hg.upf
CELL_PARAMETERS angstrom
-1.9429 2.5551 3.7113
0.6961 -3.8230 2.9963
4.4517 1.7129 1.1513
ATOMIC_POSITIONS angstrom
W -0.9715 1.2775 1.8557
W 2.2259 0.8565 0.5756
Zr 1.6024 0.2225 3.9295
Hg 0.0000 0.0000 0.0000
W 0.3480 -1.9115 1.4982
```

Properties
Relative energy among the computed polymorphs in meV per atom: 158


# 18
A plane-wave DFT calculation with PBE was carried out for a relaxed ZrHg2W crystal. Values from VASP.

```
&SYSTEM
  ibrav = 0, nat = 4, ntyp = 3
/
ATOMIC_SPECIES
Hg 200.59 Hg.upf
Zr 91.22 Zr.upf
W 183.84 W.upf
CELL_PARAMETERS angstrom
5.3129 0.0019 0.0069
4.4301 2.9328 0.0069
0.9218 0.2777 5.1438
ATOMIC_POSITIONS angstrom
Hg 0.9570 0.2883 5.0991
Zr 2.6662 0.8031 1.2894
Hg 5.2973 1.5956 2.6236
W 7.9986 2.4093 3.8683
```


# 19
A plane-wave DFT calculation with PBE was carried out for a relaxed ZrHg2W crystal. Values from VASP.

```
&SYSTEM
  ibrav = 0, nat = 8, ntyp = 3
/
ATOMIC_SPECIES
Hg 200.59 Hg.upf
W 183.84 W.upf
Zr 91.22 Zr.upf
CELL_PARAMETERS angstrom
-2.9685 -2.6885 -0.7129
2.7587 -2.9787 -0.2539
-1.0217 -4.5645 9.8617
ATOMIC_POSITIONS angstrom
Hg 1.1318 -3.3081 2.2258
Hg -0.9182 -8.4163 6.5474
Hg -1.7999 -3.2246 1.9800
Hg -0.8765 -5.5144 7.0366
W -2.0475 -5.0433 4.3327
Zr -0.1049 -2.8336 -0.4834
W 0.0000 0.0000 0.0000
Zr 0.8161 -5.1884 4.5622
```


# 20
A plane-wave DFT calculation with PBE was carried out for a relaxed Zr3HgW crystal. Values from VASP.

```
&SYSTEM
  ibrav = 0, nat = 5, ntyp = 3
/
ATOMIC_SPECIES
W 183.84 W.upf
Hg 200.59 Hg.upf
Zr 91.22 Zr.upf
CELL_PARAMETERS angstrom
-4.8155 1.7815 -0.1922
-1.0575 -2.3808 4.4287
1.4465 4.1903 2.5980
ATOMIC_POSITIONS angstrom
W -2.2133 1.7955 3.4173
Hg 0.0000 0.0000 0.0000
Zr 0.7233 2.0951 1.2990
Zr -0.5288 -1.1904 2.2144
Zr -2.4078 0.8908 -0.0961
```

Properties
Relative energy among the computed polymorphs in meV per atom: 935


# 21
A plane-wave DFT calculation with PBE was carried out for a relaxed ZrHg2W crystal. Values from VASP.

```
&SYSTEM
  ibrav = 0, nat = 4, ntyp = 3
/
ATOMIC_SPECIES
Zr 91.22 Zr.upf
W 183.84 W.upf
Hg 200.59 Hg.upf
CELL_PARAMETERS angstrom
-3.9433 0.0929 -3.7188
-3.7330 -2.7398 -2.8189
-4.3914 0.6144 2.9603
ATOMIC_POSITIONS angstrom
Zr -3.0010 -0.4537 -0.7268
W -5.9948 -1.0402 -1.8731
Hg -12.0349 -2.0353 -3.5938
Hg -9.1387 -1.5520 -2.7495
```


# 22
A plane-wave DFT calculation with PBE was carried out for a relaxed Zr2HgW crystal. Values from VASP.

```
&SYSTEM
  ibrav = 0, nat = 4, ntyp = 3
/
ATOMIC_SPECIES
Zr 91.22 Zr.upf
Hg 200.59 Hg.upf
W 183.84 W.upf
CELL_PARAMETERS angstrom
-2.0638 -1.3552 4.3801
-2.4051 -1.1093 -1.4765
1.9407 -4.9678 -0.6226
ATOMIC_POSITIONS angstrom
Zr -0.9327 -2.3967 1.7049
Zr 1.6885 -4.6853 -0.6540
Hg -0.6457 -2.9711 -1.2235
W -0.9300 -5.3855 0.7815
```


# 23
A plane-wave DFT calculation with PBE was carried out for a relaxed ZrHg2W crystal. Values from VASP.

```
&SYSTEM
  ibrav = 0, nat = 4, ntyp = 3
/
ATOMIC_SPECIES
W 183.84 W.upf
Hg 200.59 Hg.upf
Zr 91.22 Zr.upf
CELL_PARAMETERS angstrom
-2.4665 -1.2424 1.0796
2.1771 -0.8329 1.8328
-1.5623 7.7903 5.3958
ATOMIC_POSITIONS angstrom
W -0.7912 3.9449 2.7324
Hg -0.5585 1.0258 2.8854
Zr -1.2918 4.6821 5.4178
Hg -1.5538 7.7478 5.3663
```


# 24
A plane-wave DFT calculation with PBE was carried out for a relaxed ZrHg2W crystal. Values from VASP.

```
&SYSTEM
  ibrav = 0, nat = 4, ntyp = 3
/
ATOMIC_SPECIES
Zr 91.22 Zr.upf
W 183.84 W.upf
Hg 200.59 Hg.upf
CELL_PARAMETERS angstrom
-1.0661 -2.4263 -1.2103
0.8281 -1.5354 2.3335
-8.1388 1.6077 3.9461
ATOMIC_POSITIONS angstrom
Zr -6.2231 -0.7751 3.5212
W -2.1537 -1.5789 1.5481
Hg -4.0048 0.7911 1.9417
Hg -0.0646 0.0128 0.0313
```


# 25
A plane-wave DFT calculation with PBE was carried out for a relaxed Zr2HgW crystal. Values from VASP.

```
&SYSTEM
  ibrav = 0, nat = 8, ntyp = 3
/
ATOMIC_SPECIES
Zr 91.22 Zr.upf
Hg 200.59 Hg.upf
W 183.84 W.upf
CELL_PARAMETERS angstrom
4.1376 0.0000 0.0000
0.0000 4.1376 0.0000
2.0688 2.0688 10.1484
ATOMIC_POSITIONS angstrom
Zr 5.1720 5.1248 7.6113
Zr 3.0560 1.0344 2.5371
Zr 1.0815 3.1032 2.5371
Zr 3.1032 3.1503 7.6113
Hg 0.0000 0.0000 0.0000
Hg 4.1376 2.0688 5.0742
W 2.0688 2.0688 0.0000
W 2.0688 4.1376 5.0742
```


# 26
A plane-wave DFT calculation with PBE was carried out for a relaxed Zr2HgW crystal. Values from VASP.

```
&SYSTEM
  ibrav = 0, nat = 4, ntyp = 3
/
ATOMIC_SPECIES
Hg 200.59 Hg.upf
Zr 91.22 Zr.upf
W 183.84 W.upf
CELL_PARAMETERS angstrom
-8.8516 -0.1988 -2.7141
-8.1928 -3.4321 -2.6183
-9.0738 -1.8447 0.1388
ATOMIC_POSITIONS angstrom
Hg -6.5296 -1.3689 -1.2984
Zr -0.1913 -0.0401 -0.0380
Zr -12.8678 -2.6976 -2.5588
W -19.5887 -4.1066 -3.8952
```


# 27
A plane-wave DFT calculation with PBE was carried out for a relaxed ZrHg2W crystal. Values from VASP.

```
&SYSTEM
  ibrav = 0, nat = 4, ntyp = 3
/
ATOMIC_SPECIES
Hg 200.59 Hg.upf
Zr 91.22 Zr.upf
W 183.84 W.upf
CELL_PARAMETERS angstrom
5.3262 0.0406 0.0269
-2.0675 4.9088 0.0269
-0.0163 -0.0248 2.9761
ATOMIC_POSITIONS angstrom
Hg 1.6294 2.4747 0.0269
Zr -1.0419 2.4420 1.5015
W 2.6550 0.0079 1.5015
Hg 0.0000 0.0000 0.0000
```


# 28
A plane-wave DFT calculation with PBE was carried out for a relaxed YHg2 crystal. Values from VASP.

```
&SYSTEM
  ibrav = 0, nat = 3, ntyp = 2
/
ATOMIC_SPECIES
Hg 200.59 Hg.upf
Y 88.91 Y.upf
CELL_PARAMETERS angstrom
-1.3381 1.0483 3.4421
3.2653 -2.0017 -0.2618
3.3235 5.4706 -0.3740
ATOMIC_POSITIONS angstrom
Hg 3.3129 5.4531 -0.3728
Hg 3.9572 2.6796 0.7223
Y 1.3042 1.8552 2.0828
```


# 29
A plane-wave DFT calculation with PBE was carried out for a relaxed Y2Hg crystal. Values from VASP.

```
&SYSTEM
  ibrav = 0, nat = 6, ntyp = 2
/
ATOMIC_SPECIES
Hg 200.59 Hg.upf
Y 88.91 Y.upf
CELL_PARAMETERS angstrom
-2.9624 1.9287 1.2777
-5.4866 -0.3803 -6.6180
-2.0737 -4.4951 1.9775
ATOMIC_POSITIONS angstrom
Hg -6.4214 -3.5433 -4.0107
Y -6.8325 -0.3203 -4.3005
Y -3.6901 -2.6264 0.9377
Y -3.8040 -0.7652 -2.1359
Y -6.7186 -2.1815 -1.2268
Hg -4.1013 0.5966 0.6479
```


# 30
A plane-wave DFT calculation with PBE was carried out for a relaxed YHg5 crystal. Values from VASP.

```
&SYSTEM
  ibrav = 0, nat = 6, ntyp = 2
/
ATOMIC_SPECIES
Hg 200.59 Hg.upf
Y 88.91 Y.upf
CELL_PARAMETERS angstrom
4.3354 0.0000 0.0000
-2.1677 5.3215 0.0786
0.0000 2.3304 6.4665
ATOMIC_POSITIONS angstrom
Hg 0.0000 4.4755 1.8907
Hg 0.0000 1.2802 2.8480
Hg 0.0000 2.5124 6.0740
Hg 2.1677 3.4924 3.9824
Hg 0.0000 5.7072 5.1162
Y 2.1677 2.3290 0.7493
```


Number 1: E_tot -7.3449 eV/atom. Number 2: E_tot -7.3033 eV/atom. Number 3: E_tot -7.0071 eV/atom. Number 4: E_tot -5.0685 eV/atom. Number 5: E_tot -7.6471 eV/atom. Number 6: E_tot -7.2104 eV/atom. Number 7: E_tot -5.1253 eV/atom. Number 8: E_tot -5.1921 eV/atom. Number 9: E_tot -5.1690 eV/atom. Number 10: E_tot -7.2766 eV/atom. Number 11: E_tot -7.5598 eV/atom. Number 12: E_tot -5.1815 eV/atom. Number 13: E_tot -7.3850 eV/atom. Number 14: E_tot -7.3744 eV/atom. Number 15: E_tot -5.1663 eV/atom. Number 16: E_tot -7.2954 eV/atom. Number 17: E_tot -6.8721 eV/atom. Number 18: E_tot -5.1245 eV/atom. Number 19: E_tot -4.8080 eV/atom. Number 20: E_tot -6.0722 eV/atom. Number 21: E_tot -5.0957 eV/atom. Number 22: E_tot -7.4431 eV/atom. Number 23: E_tot -5.2434 eV/atom. Number 24: E_tot -5.1310 eV/atom. Number 25: E_tot -6.7765 eV/atom. Number 26: E_tot -7.4482 eV/atom. Number 27: E_tot -5.1458 eV/atom. Number 28: E_tot -2.6519 eV/atom. Number 29: E_tot -4.7572 eV/atom. Number 30: E_tot -1.5393 eV/atom.